No. 1
The following is a PBEsol calculation of a geometry-optimized KAgI2O structure, from the Alexandria database.

VASP energy: -15.2 eV per formula unit

a b c (Å): 4.046 5.813 5.813
angles (deg): 90.00 90.00 90.00
Each line ends with the local moment (μB).
Fractional coordinates of all 5 atoms:
Ag1 0.000 0.000 0.000  0.13
O1 0.500 0.000 0.000  0.49
K1 0.500 0.500 0.500  0.00
I1 0.000 0.500 0.000  0.05
I2 0.000 0.000 0.500  0.05

No. 2
The following is a PBEsol calculation of a geometry-optimized K2PrAgI6 structure, from the Alexandria database.

VASP energy: -32.3 eV per formula unit

a b c (Å): 8.486 8.486 8.486
angles (deg): 60.00 60.00 60.00
Fractional coordinates of all 10 atoms:
I1 0.756 0.756 0.244
I2 0.244 0.756 0.756
I3 0.756 0.244 0.756
I4 0.244 0.244 0.756
I5 0.244 0.756 0.244
I6 0.756 0.244 0.244
Pr1 0.500 0.500 0.500
K1 0.750 0.750 0.750
K2 0.250 0.250 0.250
Ag1 0.000 0.000 0.000

No. 3
The following is a PBEsol calculation of a geometry-optimized K2AgSbI6 structure, from the Alexandria database.

VASP energy: -27.8 eV per formula unit

a b c (Å): 8.306 8.306 8.306
angles (deg): 60.00 60.00 60.00
Fractional coordinates of all 10 atoms:
I1 0.746 0.254 0.254
I2 0.254 0.746 0.254
I3 0.254 0.254 0.746
I4 0.254 0.746 0.746
I5 0.746 0.746 0.254
I6 0.746 0.254 0.746
K1 0.750 0.750 0.750
K2 0.250 0.250 0.250
Sb1 0.000 0.000 0.000
Ag1 0.500 0.500 0.500

No. 4
The following is a PBEsol calculation of a geometry-optimized KAgTe2I structure, from the Alexandria database.

VASP energy: -9.1 eV per formula unit

a b c (Å): 6.093 5.940 5.940
angles (deg): 90.00 90.00 90.00
Each line ends with the local moment (μB).
Fractional coordinates of all 5 atoms:
Te1 0.000 0.500 0.000  0.23
Te2 0.000 0.000 0.500  0.23
I1 0.500 0.000 0.000  0.18
Ag1 0.500 0.500 0.500  -0.01
K1 0.000 0.000 0.000  0.01

No. 5
The following is a PBEsol calculation of a geometry-optimized K2TlAgI6 structure, from the Alexandria database.

VASP energy: -25.5 eV per formula unit

a b c (Å): 8.286 8.286 8.286
angles (deg): 60.00 60.00 60.00
Fractional coordinates of all 10 atoms:
K1 0.750 0.750 0.750
K2 0.250 0.250 0.250
I1 0.257 0.257 0.743
I2 0.257 0.743 0.257
I3 0.743 0.743 0.257
I4 0.743 0.257 0.257
I5 0.257 0.743 0.743
I6 0.743 0.257 0.743
Tl1 0.000 0.000 0.000
Ag1 0.500 0.500 0.500

No. 6
The following is a PBEsol calculation of a geometry-optimized LaAgIN2 structure, from the Alexandria database.

VASP energy: -23.2 eV per formula unit

a b c (Å): 4.383 4.383 5.069
angles (deg): 90.00 90.00 90.00
Each line ends with the local moment (μB).
Fractional coordinates of all 5 atoms:
Ag1 0.000 0.000 0.000  0.04
N1 0.000 0.500 0.000  0.46
N2 0.500 0.000 0.000  0.46
I1 0.000 0.000 0.500  0.03
La1 0.500 0.500 0.500  -0.04

No. 7
The following is a PBEsol calculation of a geometry-optimized LaAgI4O12 structure, from the Alexandria database.

VASP energy: -93.7 eV per formula unit

a b c (Å): 5.578 12.777 16.107
angles (deg): 90.40 99.97 90.00
Fractional coordinates of all 72 atoms:
O1 0.620 0.748 0.252
O2 0.576 0.432 0.339
O3 0.083 0.806 0.259
O4 0.640 0.550 0.173
O5 0.859 0.052 0.766
O6 0.496 0.923 0.904
O7 0.672 0.373 0.078
O8 0.871 0.177 0.069
O9 0.419 0.742 0.806
O10 0.906 0.713 0.894
O11 0.408 0.423 0.904
O12 0.910 0.834 0.043
O13 0.622 0.648 0.420
O14 0.850 0.579 0.595
O15 0.421 0.130 0.977
O16 0.162 0.653 0.454
O17 0.798 0.148 0.420
O18 0.988 0.213 0.894
O19 0.835 0.255 0.698
O20 0.632 0.248 0.252
O21 0.334 0.441 0.731
O22 0.061 0.331 0.431
O23 0.370 0.831 0.431
O24 0.306 0.033 0.314
O25 0.362 0.277 0.605
O26 0.133 0.334 0.043
O27 0.115 0.509 0.164
O28 0.407 0.873 0.078
O29 0.387 0.242 0.806
O30 0.243 0.777 0.605
O31 0.176 0.306 0.259
O32 0.556 0.630 0.977
O33 0.746 0.079 0.595
O34 0.863 0.755 0.698
O35 0.398 0.941 0.731
O36 0.719 0.365 0.528
O37 0.198 0.677 0.069
O38 0.929 0.502 0.942
O39 0.292 0.153 0.454
O40 0.809 0.865 0.528
O41 0.049 0.009 0.164
O42 0.763 0.932 0.339
O43 0.907 0.552 0.766
O44 0.224 0.988 0.556
O45 0.013 0.002 0.942
O46 0.008 0.533 0.314
O47 0.333 0.488 0.556
O48 0.532 0.050 0.173
I1 0.035 0.635 0.691
I2 0.817 0.294 0.004
I3 0.187 0.794 0.004
I4 0.551 0.397 0.615
I5 0.868 0.796 0.333
I6 0.594 0.863 0.811
I7 0.881 0.456 0.218
I8 0.708 0.596 0.887
I9 0.217 0.363 0.811
I10 0.064 0.897 0.615
I11 0.179 0.096 0.887
I12 0.453 0.714 0.495
I13 0.464 0.296 0.333
I14 0.338 0.956 0.218
I15 0.042 0.214 0.495
I16 0.657 0.135 0.691
Ag1 0.315 0.204 0.133
Ag2 0.818 0.704 0.133
Ag3 0.359 0.617 0.276
Ag4 0.918 0.117 0.276
La1 0.536 0.003 0.458
La2 0.329 0.501 0.044
La3 0.715 0.001 0.044
La4 0.922 0.503 0.458

No. 8
The following is a PBEsol calculation of a geometry-optimized LaAgSb2I structure, from the Alexandria database.

VASP energy: -17.1 eV per formula unit

a b c (Å): 6.042 6.042 6.028
angles (deg): 90.00 90.00 90.00
Each line ends with the local moment (μB).
Fractional coordinates of all 5 atoms:
Sb1 0.000 0.500 0.000  0.09
Sb2 0.500 0.000 0.000  0.09
I1 0.000 0.000 0.500  0.04
Ag1 0.500 0.500 0.500  -0.01
La1 0.000 0.000 0.000  0.02

No. 9
The following is a PBEsol calculation of a geometry-optimized Li3AgI structure, from the Alexandria database.

VASP energy: -11.8 eV per formula unit

a b c (Å): 5.000 5.000 5.000
angles (deg): 90.00 90.00 90.00
Fractional coordinates of all 5 atoms:
Ag1 0.000 0.000 0.000
I1 0.500 0.500 0.500
Li1 0.500 0.000 0.000
Li2 0.000 0.500 0.000
Li3 0.000 0.000 0.500

No. 10
The following is a PBEsol calculation of a geometry-optimized LiAgI2 structure, from the Alexandria database.

VASP energy: -11.6 eV per formula unit

a b c (Å): 6.369 6.369 7.838
angles (deg): 113.97 113.97 90.00
Fractional coordinates of all 8 atoms:
Li1 0.750 0.250 0.500
Li2 0.500 0.500 0.000
I1 0.125 0.133 0.750
I2 0.867 0.375 0.250
I3 0.383 0.875 0.250
I4 0.625 0.617 0.750
Ag1 0.000 0.000 0.000
Ag2 0.250 0.750 0.500

No. 11
The following is a PBEsol calculation of a geometry-optimized MgAgI3 structure, from the Alexandria database.

VASP energy: -10.5 eV per formula unit

a b c (Å): 5.567 5.567 5.567
angles (deg): 90.00 90.00 90.00
Fractional coordinates of all 5 atoms:
I1 0.500 0.000 0.000
I2 0.000 0.500 0.000
I3 0.000 0.000 0.500
Mg1 0.500 0.500 0.500
Ag1 0.000 0.000 0.000

No. 12
The following is a PBEsol calculation of a geometry-optimized Mg2AgIN structure, from the Alexandria database.

VASP energy: -8.8 eV per formula unit

a b c (Å): 5.316 5.808 5.808
angles (deg): 90.00 90.00 90.00
Each line ends with the local moment (μB).
Fractional coordinates of all 5 atoms:
N1 0.500 0.500 0.500  1.47
Mg1 0.000 0.000 0.500  -0.03
Mg2 0.000 0.500 0.000  -0.03
Ag1 0.500 0.000 0.000  -0.03
I1 0.000 0.000 0.000  -0.07

No. 13
The following is a PBEsol calculation of a geometry-optimized NaMg2AgI structure, from the Alexandria database.

VASP energy: -6.9 eV per formula unit

a b c (Å): 5.471 5.748 5.748
angles (deg): 90.00 90.00 90.00
Fractional coordinates of all 5 atoms:
Mg1 0.000 0.000 0.500
Mg2 0.000 0.500 0.000
Ag1 0.500 0.500 0.500
Na1 0.000 0.000 0.000
I1 0.500 0.000 0.000

No. 14
The following is a PBEsol calculation of a geometry-optimized MgTaAg2I structure, from the Alexandria database.

VASP energy: -16.1 eV per formula unit

a b c (Å): 4.802 4.802 5.287
angles (deg): 90.00 90.00 90.00
Each line ends with the local moment (μB).
Fractional coordinates of all 5 atoms:
I1 0.500 0.500 0.500  -0.01
Ag1 0.500 0.000 0.000  0.00
Ag2 0.000 0.500 0.000  0.00
Mg1 0.000 0.000 0.000  0.01
Ta1 0.000 0.000 0.500  1.41

No. 15
The following is a PBEsol calculation of a geometry-optimized MnAg3I structure, from the Alexandria database.

VASP energy: -16.7 eV per formula unit

a b c (Å): 4.951 4.951 4.951
angles (deg): 90.00 90.00 90.00
Each line ends with the local moment (μB).
Fractional coordinates of all 5 atoms:
Ag1 0.000 0.500 0.000  0.06
Ag2 0.000 0.000 0.500  0.06
Ag3 0.500 0.000 0.000  0.06
Mn1 0.000 0.000 0.000  3.87
I1 0.500 0.500 0.500  0.01

No. 16
The following is a PBEsol calculation of a geometry-optimized MnAgI2N structure, from the Alexandria database.

VASP energy: -19.6 eV per formula unit

a b c (Å): 3.942 5.699 5.699
angles (deg): 90.00 90.00 90.00
Each line ends with the local moment (μB).
Fractional coordinates of all 5 atoms:
Mn1 0.500 0.500 0.500  4.47
I1 0.000 0.500 0.000  0.10
I2 0.000 0.000 0.500  0.10
Ag1 0.000 0.000 0.000  0.17
N1 0.500 0.000 0.000  1.02

No. 17
The following is a PBEsol calculation of a geometry-optimized MnNi2AgI structure, from the Alexandria database.

VASP energy: -21.7 eV per formula unit

a b c (Å): 4.416 4.416 4.901
angles (deg): 90.00 90.00 90.00
Each line ends with the local moment (μB).
Fractional coordinates of all 5 atoms:
I1 0.500 0.500 0.500  0.09
Ni1 0.500 0.000 0.000  0.62
Ni2 0.000 0.500 0.000  0.62
Ag1 0.000 0.000 0.500  0.10
Mn1 0.000 0.000 0.000  3.48

No. 18
The following is a PBEsol calculation of a geometry-optimized MnAgTeI2 structure, from the Alexandria database.

VASP energy: -16.9 eV per formula unit

a b c (Å): 5.450 5.450 5.490
angles (deg): 90.00 90.00 90.00
Each line ends with the local moment (μB).
Fractional coordinates of all 5 atoms:
I1 0.000 0.500 0.000  0.04
I2 0.500 0.000 0.000  0.04
Mn1 0.500 0.500 0.500  4.63
Te1 0.000 0.000 0.500  -0.04
Ag1 0.000 0.000 0.000  0.01

No. 19
The following is a PBEsol calculation of a geometry-optimized Y2MnAgI structure, from the Alexandria database.

VASP energy: -24.3 eV per formula unit

a b c (Å): 5.443 5.443 5.483
angles (deg): 90.00 90.00 90.00
Each line ends with the local moment (μB).
Fractional coordinates of all 5 atoms:
Ag1 0.000 0.000 0.000  -0.01
I1 0.000 0.000 0.500  0.02
Y1 0.500 0.000 0.000  -0.17
Y2 0.000 0.500 0.000  -0.17
Mn1 0.500 0.500 0.500  4.28

No. 20
The following is a PBEsol calculation of a geometry-optimized Ag2MoI structure, from the Alexandria database.

VASP energy: -15.5 eV per formula unit

a b c (Å): 4.884 4.884 4.884
angles (deg): 60.00 60.00 60.00
Each line ends with the local moment (μB).
Fractional coordinates of all 4 atoms:
Ag1 0.250 0.250 0.250  0.06
Ag2 0.750 0.750 0.750  0.06
I1 0.500 0.500 0.500  0.04
Mo1 0.000 0.000 0.000  3.02